Entry 1:
A relaxed Zn2Tc crystal. Source: the Open Quantum Materials Database, functional GGA-PBE.

Lattice parameters (Å, degrees): 4.8052 8.0356 4.4154 90.00 90.00 90.00
Fractional positions:
Tc  0.8426  0.5000  0.5000
Tc  0.8426  0.1667  0.5000
Tc  0.9908  0.0000  0.0000
Tc  0.9908  0.6667  0.0000
Zn  0.3505  0.3333  0.5000
Zn  0.0033  0.3333  0.0000
Zn  0.8300  0.8333  0.5000
Zn  0.5007  0.1614  0.0000
Zn  0.5007  0.5053  0.0000
Zn  0.3327  0.6614  0.5000
Zn  0.3327  0.0053  0.5000
Zn  0.4828  0.8333  0.0000

## Properties
As for the space-group type: Pmmn, No. 59. The value obtained for the total DFT energy (no corrections) is -4.28 eV per atom. As for the relative energy among the computed polymorphs: 0.000 eV/atom. The density is 8.914 g/cm3. For the calculated formation energy, the calculation gives 21 meV/atom. The total moment is 0.009 μB/f.u. The crystal system is orthorhombic.

Entry 2:
A relaxed TlAgTe2OsSe crystal. Source: the Open Quantum Materials Database, functional GGA-PBE.

Lattice parameters (Å, degrees): 7.7731 7.7731 10.2721 90.00 90.00 150.21
Fractional positions:
Te  0.1217  0.8783  0.9889
Te  0.8783  0.1217  0.0111
Te  0.8783  0.1217  0.4889
Te  0.1217  0.8783  0.5111
Se  0.5677  0.4323  0.2500
Se  0.4323  0.5677  0.7500
Ag  0.0470  0.9530  0.7500
Ag  0.9530  0.0470  0.2500
Tl  0.2660  0.7340  0.2500
Tl  0.7340  0.2660  0.7500
Os  0.5000  0.5000  0.0000
Os  0.5000  0.5000  0.5000

## Properties
As for the space-group type: Cmcm, No. 63. The value obtained for the total DFT energy (no corrections) is -4.21 eV per atom. The density is 9.010 g/cm3. The total moment is 0.019 μB/f.u. The crystal system is orthorhombic.

Entry 3:
A relaxed SmDy2Se3 crystal. Source: the Open Quantum Materials Database, functional GGA-PBE.

Lattice parameters (Å, degrees): 4.0897 4.0897 10.0801 90.00 90.00 120.00
Fractional positions:
Se  0.6667  0.3333  0.3258
Se  0.3333  0.6667  0.6742
Se  0.0000  0.0000  0.0000
Dy  0.3333  0.6667  0.1649
Dy  0.6667  0.3333  0.8351
Sm  0.0000  0.0000  0.5000

## Properties
As for the space-group type: P-3m1, No. 164. The value obtained for the total DFT energy (no corrections) is -5.83 eV per atom. The density is 8.100 g/cm3. The total moment is 0.001 μB/f.u. The crystal system is trigonal.

Entry 4:
A relaxed Tb2P2IrOsS2 crystal. Source: the Open Quantum Materials Database, functional GGA-PBE.

Lattice parameters (Å, degrees): 4.1408 4.1408 8.6887 90.00 90.00 90.00
Fractional positions:
Tb  0.5000  0.0000  0.6976
Tb  0.0000  0.5000  0.3024
S  0.5000  0.5000  0.5000
S  0.0000  0.0000  0.5000
P  0.5000  0.0000  0.1402
P  0.0000  0.5000  0.8598
Ir  0.5000  0.5000  0.0000
Os  0.0000  0.0000  0.0000

## Properties
As for the space-group type: P-4m2, No. 115. The value obtained for the total DFT energy (no corrections) is -7.11 eV per atom. The density is 9.211 g/cm3. The total moment is 0.002 μB/f.u. The crystal system is tetragonal.

Entry 5:
A relaxed ZrCuSn2 crystal. Source: the Open Quantum Materials Database, functional GGA-PBE.

Lattice parameters (Å, degrees): 4.9777 4.9777 4.9777 60.00 60.00 60.00
Site moments in Bohr magnetons follow the coordinates.
Fractional positions:
Zr  0.2500  0.2500  0.2500  0.13
Cu  0.5000  0.5000  0.5000  0.00
Sn  0.0000  0.0000  0.0000  0.03
Sn  0.7500  0.7500  0.7500  0.00

## Properties
As for the space-group type: F-43m, No. 216. The value obtained for the total DFT energy (no corrections) is -4.87 eV per atom. The density is 7.467 g/cm3. The total moment is 0.249 μB/f.u. The crystal system is cubic.

Entry 6:
A relaxed LiHfNO crystal. Source: the Open Quantum Materials Database, functional GGA-PBE.

Lattice parameters (Å, degrees): 3.2508 3.2508 7.4096 90.00 90.00 90.00
Fractional positions:
N  0.2500  0.2500  0.6805
N  0.7500  0.7500  0.3195
Li  0.2500  0.7500  0.5000
Li  0.7500  0.2500  0.5000
O  0.7500  0.2500  0.0000
O  0.2500  0.7500  0.0000
Hf  0.2500  0.2500  0.1770
Hf  0.7500  0.7500  0.8230

## Properties
As for the space-group type: P4/nmm, No. 129. The value obtained for the total DFT energy (no corrections) is -7.95 eV per atom. As for the relative energy among the computed polymorphs: 0.500 eV/atom. The density is 9.137 g/cm3. The total moment is 0.000 μB/f.u. The crystal system is tetragonal.

Entry 7:
A relaxed NaNdCdTe3 crystal. Source: the Open Quantum Materials Database, functional GGA-PBE.

Lattice parameters (Å, degrees): 8.8515 4.5184 10.7141 90.00 103.67 90.00
Fractional positions:
Te  0.4358  0.7500  0.1591
Te  0.9346  0.7500  0.1385
Te  0.5642  0.2500  0.8409
Te  0.0654  0.2500  0.8615
Te  0.2516  0.7500  0.5345
Te  0.7484  0.2500  0.4655
Na  0.7873  0.7500  0.7673
Na  0.2127  0.2500  0.2327
Cd  0.0853  0.2500  0.6028
Cd  0.9147  0.7500  0.3972
Nd  0.3195  0.7500  0.8560
Nd  0.6805  0.2500  0.1440

## Properties
As for the space-group type: P2_1/m, No. 11. The value obtained for the total DFT energy (no corrections) is -3.71 eV per atom. As for the relative energy among the computed polymorphs: 0.002 eV/atom. The density is 5.284 g/cm3. The total moment is 0.008 μB/f.u. The crystal system is monoclinic.

Entry 8:
A relaxed YGaTc crystal. Source: the Open Quantum Materials Database, functional GGA-PBE.

Lattice parameters (Å, degrees): 4.6586 4.6586 4.6586 60.00 60.00 60.00
Fractional positions:
Y  0.0000  0.0000  0.0000
Ga  0.2500  0.2500  0.2500
Tc  0.7500  0.7500  0.7500

## Properties
As for the space-group type: F-43m, No. 216. The value obtained for the total DFT energy (no corrections) is -5.71 eV per atom. As for the relative energy among the computed polymorphs: 0.787 eV/atom. The density is 5.961 g/cm3. The total moment is 1.004 μB/f.u. The crystal system is cubic.

Entry 9:
A relaxed BaHoPb2 crystal. Source: the Open Quantum Materials Database, functional GGA-PBE.

Lattice parameters (Å, degrees): 4.6080 6.7753 6.7753 42.23 90.00 90.00
Fractional positions:
Pb  0.5000  0.0759  0.0759
Pb  0.0000  0.9040  0.9040
Ho  0.5000  0.3805  0.3805
Ba  0.0000  0.6396  0.6396

## Properties
As for the space-group type: Amm2, No. 38. The value obtained for the total DFT energy (no corrections) is -3.85 eV per atom. The density is 8.370 g/cm3. The total moment is 0.016 μB/f.u. The crystal system is orthorhombic.

Entry 10:
A relaxed Ni5SnN crystal. Source: the Open Quantum Materials Database, functional GGA-PBE.

Lattice parameters (Å, degrees): 3.5464 3.5464 6.3550 90.00 90.00 90.00
Fractional positions:
Ni  0.0000  0.5000  0.3137
Ni  0.0000  0.0000  0.0000
Ni  0.5000  0.0000  0.6863
Ni  0.5000  0.0000  0.3137
Ni  0.0000  0.5000  0.6863
N  0.0000  0.0000  0.5000
Sn  0.5000  0.5000  0.0000

## Properties
As for the space-group type: P4/mmm, No. 123. The value obtained for the total DFT energy (no corrections) is -5.62 eV per atom. The density is 8.854 g/cm3. The total moment is 0.001 μB/f.u. The crystal system is tetragonal.

Entry 11:
A relaxed NaSmHgTe3 crystal. Source: the Open Quantum Materials Database, functional GGA-PBE.

Lattice parameters (Å, degrees): 8.7313 4.4662 10.6748 90.00 103.99 90.00
Fractional positions:
Te  0.2633  0.7500  0.5359
Te  0.7367  0.2500  0.4641
Te  0.4327  0.7500  0.1554
Te  0.5673  0.2500  0.8446
Te  0.0636  0.2500  0.8648
Te  0.9364  0.7500  0.1352
Na  0.2221  0.2500  0.2544
Na  0.7779  0.7500  0.7456
Hg  0.0930  0.2500  0.6089
Hg  0.9070  0.7500  0.3911
Sm  0.6798  0.2500  0.1465
Sm  0.3202  0.7500  0.8535

## Properties
As for the space-group type: P2_1/m, No. 11. The value obtained for the total DFT energy (no corrections) is -3.50 eV per atom. As for the relative energy among the computed polymorphs: 0.010 eV/atom. The density is 6.222 g/cm3. The total moment is 0.006 μB/f.u. The crystal system is monoclinic.

Entry 12:
A relaxed ZnInAg crystal. Source: the Open Quantum Materials Database, functional GGA-PBE.

Lattice parameters (Å, degrees): 4.5327 4.5327 4.5327 60.00 60.00 60.00
Fractional positions:
Ag  0.0000  0.0000  0.0000
Zn  0.7500  0.7500  0.7500
In  0.2500  0.2500  0.2500

## Properties
As for the space-group type: F-43m, No. 216. The value obtained for the total DFT energy (no corrections) is -2.21 eV per atom. As for the relative energy among the computed polymorphs: 0.000 eV/atom. The density is 7.265 g/cm3. The crystal system is cubic.